MgW2O4 after structural relaxation, computed with GGA+U.

## Properties
Crystal system: orthorhombic
Space-group type: No. 74
N(E_F), states/eV/f.u.: 0.2
Excess energy over the best structure of this formula in the dataset, eV per atom: 0.1971
Electronic total energy, eV per atom: -6.81

```
MgW2O4
1.0
0.751 -5.808 2.404
-6.231 -0.168 1.103
2.232 1.062 -5.827
O Mg W
8 2 4
direct
0.254 0.269 0.515 O
0.746 0.262 0.015 O
0.263 0.739 0.525 O
0.254 0.738 0.985 O
0.286 0.261 0.025 O
0.737 0.261 0.475 O
0.714 0.739 0.975 O
0.746 0.731 0.485 O
0.500 0.500 0.000 Mg
0.000 0.500 0.500 Mg
0.099 0.849 0.250 W
0.500 0.000 0.000 W
0.500 0.500 0.500 W
0.901 0.151 0.750 W
```